Record 1
GGA-PBE CuHg2I, optimized geometry; E above lowest polymorph = 391 meV per atom; crystal system = cubic; space group = No. 225; formation energy (no corrections) = 0.533 eV/atom
1.0
-0.1009 -5.3247 0.6344
-4.6918 -2.5941 0.1516
-1.4502 -3.1602 -4.0835
I Hg Cu
1 2 1
Cartesian
-3.1215 -5.5395 -1.6487
-1.5607 -2.7697 -0.8244
-4.6822 -8.3092 -2.4731
0.0000 0.0000 0.0000

Record 2
GGA-PBE Ac4PdPt2Cl, optimized geometry; crystal system = orthorhombic; space group = No. 42; formation energy (no corrections) = -1.186 eV/atom
1.0
-3.1555 -2.6351 -4.7374
1.6409 -5.6895 2.0689
-4.4101 3.9639 4.8866
Pd Ac Pt Cl
1 4 2 1
Cartesian
-0.6627 -3.6422 -1.1675
-3.0994 -3.7309 0.5099
-2.6342 0.4202 2.0449
-2.2404 -4.9578 -3.5360
0.1584 -6.4853 -0.1321
-4.0659 -0.8915 -0.4241
-1.6677 -2.4187 2.9790
-1.4200 -7.8048 -2.5018

Record 3
GGA-PBE CoAg2Te, optimized geometry; crystal system = monoclinic; space group = No. 8; formation energy (no corrections) = 0.251 eV/atom
1.0
4.4711 0.0529 0.0071
2.7200 3.5489 0.0071
2.7466 1.3757 4.9039
Co Te Ag
1 1 2
Cartesian
4.7344 2.3713 1.6228
2.4845 1.2444 1.9198
7.1922 3.6023 0.1191
7.6864 3.8499 3.7299

Record 4
GGA-PBE KFe2Rh, optimized geometry; E above lowest polymorph = 528 meV per atom; crystal system = cubic; space group = No. 225; ΔE_f = 1.0541 eV/atom
1.0
0.0000 3.2310 3.2310
3.2310 0.0000 3.2310
3.2310 3.2310 0.0000
K Fe Rh
1 2 1
Cartesian
0.0000 0.0000 0.0000
1.6155 1.6155 1.6155
4.8465 4.8465 4.8465
3.2310 3.2310 3.2310

The following uncorrected energy values (in eV for the cell shown) correspond, in order, to the records above: -4.12 -45.05 -14.95 -21.16.
The following size of the total moment values (in μB per formula unit) correspond, in order, to the records above: 0.00 0.00 0.00 6.49.